Entry from the Alexandria database: an optimized crystal structure of TbSm4Y10 (PBE).

a = 7.7408 Å, b = 9.4825 Å, c = 9.4825 Å
α = 80.41°, β = 65.91°, γ = 65.91°
Atoms (fractional coordinates):
Y (0.9506, 0.8995, 0.7011)
Y (0.4488, 0.8995, 0.7011)
Y (0.3483, 0.7011, 0.1005)
Sm (0.7993, 0.6002, 0.8012)
Sm (0.3995, 0.8012, 0.3998)
Y (0.0494, 0.1005, 0.2989)
Y (0.1499, 0.2989, 0.8995)
Y (0.7500, 0.5000, 0.5000)
Tb (0.0000, 0.0000, 0.0000)
Y (0.2500, 0.5000, 0.5000)
Y (0.5512, 0.1005, 0.2989)
Sm (0.6005, 0.1988, 0.6002)
Y (0.6517, 0.2989, 0.8995)
Y (0.8501, 0.7011, 0.1005)
Sm (0.2007, 0.3998, 0.1988)

DFT formation energy ... 750 meV/atom
N(E_F) ... 22.6 states/eV per cell

---

Entry from the Alexandria database: an optimized crystal structure of Tb5Sm2Y5 (PBE).

a = 5.0597 Å, b = 7.9954 Å, c = 11.3007 Å
α = 115.11°, β = 90.00°, γ = 108.45°
Atoms (fractional coordinates):
Y (0.8335, 0.6670, 0.5003)
Tb (0.6668, 0.3336, 0.9999)
Tb (0.4168, 0.8336, 0.7501)
Y (0.1665, 0.3330, 0.4997)
Y (0.0000, 0.0000, 0.0000)
Tb (0.5832, 0.1664, 0.2499)
Y (0.7504, 0.5009, 0.7506)
Tb (0.3332, 0.6664, 0.0001)
Y (0.2496, 0.4991, 0.2494)
Tb (0.5000, 0.0000, 0.5000)
Sm (0.0831, 0.1662, 0.7501)
Sm (0.9169, 0.8338, 0.2499)

DFT formation energy ... 18 meV/atom
N(E_F) ... 16.6 states/eV per cell

---

Entry from the Alexandria database: an optimized crystal structure of Tb3Sm5Y4 (PBE).

a = 5.9364 Å, b = 8.6470 Å, c = 9.6807 Å
α = 105.83°, β = 72.15°, γ = 69.92°
Atoms (fractional coordinates):
Sm (0.5000, 0.5000, 0.5000)
Y (0.8578, 0.2226, 0.0619)
Sm (0.6241, 0.9518, 0.7999)
Y (0.1645, 0.0494, 0.6217)
Sm (0.7880, 0.5385, 0.8854)
Y (0.8355, 0.9506, 0.3783)
Tb (0.4784, 0.3129, 0.7302)
Y (0.1422, 0.7774, 0.9381)
Tb (0.5216, 0.6871, 0.2698)
Sm (0.2120, 0.4615, 0.1146)
Sm (0.3759, 0.0482, 0.2001)
Tb (0.0000, 0.5000, 0.5000)

Energy relative to the lowest polymorph listed for this composition ... 206 meV/atom
DFT formation energy ... 221 meV/atom
N(E_F) ... 20.3 states/eV per cell

---

Entry from the Alexandria database: an optimized crystal structure of Tb4Sm4Y3 (PBE).

a = 3.5858 Å, b = 5.0761 Å, c = 19.9826 Å
α = 97.29°, β = 95.17°, γ = 90.02°
Atoms (fractional coordinates):
Tb (0.9089, 0.9091, 0.8178)
Sm (0.8180, 0.8182, 0.6358)
Y (0.6364, 0.6360, 0.2727)
Tb (0.0911, 0.0909, 0.1822)
Tb (0.7273, 0.7273, 0.4550)
Tb (0.2726, 0.2728, 0.5451)
Sm (0.1820, 0.1818, 0.3643)
Y (0.3636, 0.3640, 0.7273)
Sm (0.5460, 0.5458, 0.0917)
Y (0.0000, 0.0000, 0.0000)
Sm (0.4540, 0.4542, 0.9083)

Energy relative to the lowest polymorph listed for this composition ... 0 meV/atom
DFT formation energy ... 16 meV/atom
N(E_F) ... 14.1 states/eV per cell

---

Entry from the Alexandria database: an optimized crystal structure of Tb15Sm2Y2 (PBE).

a = 8.7528 Å, b = 8.7528 Å, c = 8.7528 Å
α = 79.73°, β = 79.73°, γ = 79.73°
Atoms (fractional coordinates):
Tb (0.6292, 0.1499, 0.6292)
Tb (0.5000, 0.0000, 0.0000)
Tb (0.0000, 0.0000, 0.5000)
Tb (0.1499, 0.6292, 0.6292)
Tb (0.3708, 0.3708, 0.8501)
Sm (0.6761, 0.6761, 0.6761)
Y (0.9036, 0.9036, 0.9036)
Sm (0.3239, 0.3239, 0.3239)
Tb (0.8501, 0.3708, 0.3708)
Tb (0.7026, 0.2974, 0.0000)
Tb (0.0000, 0.2974, 0.7026)
Tb (0.2974, 0.0000, 0.7026)
Tb (0.0000, 0.5000, 0.0000)
Tb (0.3708, 0.8501, 0.3708)
Tb (0.6292, 0.6292, 0.1499)
Tb (0.0000, 0.7026, 0.2974)
Tb (0.7026, 0.0000, 0.2974)
Tb (0.2974, 0.7026, 0.0000)
Y (0.0964, 0.0964, 0.0964)

DFT formation energy ... 275 meV/atom
N(E_F) ... 34.9 states/eV per cell

---

Entry from the Alexandria database: an optimized crystal structure of Tb7Sm12Y (PBE).

a = 6.1930 Å, b = 11.5041 Å, c = 11.5041 Å
α = 116.85°, β = 100.34°, γ = 100.34°
Atoms (fractional coordinates):
Sm (0.5887, 0.9997, 0.6458)
Tb (0.6266, 0.7535, 0.7540)
Tb (0.8726, 0.2460, 0.9995)
Sm (0.4113, 0.0003, 0.3542)
Tb (0.8731, 0.0005, 0.2465)
Sm (0.4999, 0.5872, 0.4134)
Sm (0.0571, 0.6458, 0.6461)
Sm (0.5890, 0.6461, 0.0003)
Sm (0.9429, 0.3542, 0.3539)
Tb (0.3734, 0.2465, 0.2460)
Sm (0.4110, 0.3539, 0.9997)
Sm (0.0873, 0.1738, 0.5872)
Sm (0.9135, 0.4134, 0.8262)
Y (0.0000, 0.0000, 0.0000)
Sm (0.5001, 0.4128, 0.5866)
Sm (0.0865, 0.5866, 0.1738)
Tb (0.5000, 0.0000, 0.0000)
Tb (0.1274, 0.7540, 0.0005)
Tb (0.1269, 0.9995, 0.7535)
Sm (0.9127, 0.8262, 0.4128)

Energy relative to the lowest polymorph listed for this composition ... 0 meV/atom
DFT formation energy ... 254 meV/atom
N(E_F) ... 27.5 states/eV per cell

---

Entry from the Alexandria database: an optimized crystal structure of Tb2SmY5 (PBE).

a = 5.0445 Å, b = 7.1565 Å, c = 14.3162 Å
α = 90.00°, β = 90.00°, γ = 90.00°
Atoms (fractional coordinates):
Y (0.0000, 0.5000, 0.5000)
Y (0.5000, 0.7506, 0.6252)
Y (0.0000, 0.5004, 0.7500)
Tb (0.5000, 0.2502, 0.6251)
Tb (0.5000, 0.2498, 0.1251)
Y (0.5000, 0.7494, 0.1252)
Sm (0.0000, 0.5000, 0.0000)
Y (0.5000, 0.2494, 0.3748)
Y (0.0000, 0.0004, 0.7500)
Sm (0.0000, 0.0000, 0.5000)
Y (0.5000, 0.2506, 0.8748)
Y (0.0000, 0.4996, 0.2500)
Tb (0.5000, 0.7498, 0.3749)
Tb (0.5000, 0.7502, 0.8749)
Y (0.0000, 0.0000, 0.0000)
Y (0.0000, 0.9996, 0.2500)

Energy relative to the lowest polymorph listed for this composition ... 0 meV/atom
DFT formation energy ... 18 meV/atom
N(E_F) ... 20.4 states/eV per cell

---

Entry from the Alexandria database: an optimized crystal structure of Tb6SmY6 (PBE).

a = 6.6345 Å, b = 6.6349 Å, c = 10.9845 Å
α = 90.00°, β = 90.00°, γ = 115.21°
Atoms (fractional coordinates):
Tb (0.6415, 0.3593, 0.0000)
Y (0.5000, 0.5000, 0.6899)
Y (0.5000, 0.0000, 0.7764)
Tb (0.7463, 0.2535, 0.5000)
Y (0.5000, 0.5000, 0.3101)
Y (0.0000, 0.5000, 0.2238)
Tb (0.0000, 0.0000, 0.3312)
Tb (0.2537, 0.7465, 0.5000)
Sm (0.0000, 0.0000, 0.0000)
Tb (0.0000, 0.0000, 0.6688)
Y (0.5000, 0.0000, 0.2236)
Y (0.0000, 0.5000, 0.7762)
Tb (0.3585, 0.6407, 0.0000)

DFT formation energy ... 229 meV/atom
N(E_F) ... 20.7 states/eV per cell

---

Entry from the Alexandria database: an optimized crystal structure of TbSm7Y2 (PBE).

a = 5.3416 Å, b = 9.7530 Å, c = 9.7531 Å
α = 127.13°, β = 90.00°, γ = 90.00°
Atoms (fractional coordinates):
Sm (0.0000, 0.1977, 0.8023)
Y (0.5000, 0.2946, 0.7054)
Sm (0.5000, 0.5000, 0.5000)
Y (0.5000, 0.7054, 0.2946)
Sm (0.0000, 0.8023, 0.1977)
Sm (0.5000, 0.0714, 0.2882)
Tb (0.0000, 0.0000, 0.0000)
Sm (0.5000, 0.2882, 0.0714)
Sm (0.5000, 0.9286, 0.7118)
Sm (0.5000, 0.7118, 0.9286)

Energy relative to the lowest polymorph listed for this composition ... 650 meV/atom
DFT formation energy ... 665 meV/atom
N(E_F) ... 14.6 states/eV per cell

---

Entry from the Alexandria database: an optimized crystal structure of TbSm3Y4 (PBE).

a = 6.3379 Å, b = 7.3333 Å, c = 11.4414 Å
α = 90.00°, β = 90.00°, γ = 90.00°
Atoms (fractional coordinates):
Y (0.9824, 0.1243, 0.7507)
Sm (0.9794, 0.6249, 0.7502)
Sm (0.1491, 0.3748, 0.5000)
Y (0.6468, 0.1245, 0.0000)
Sm (0.4794, 0.3751, 0.2502)
Tb (0.1492, 0.3738, 0.0000)
Y (0.4824, 0.8757, 0.7493)
Y (0.1468, 0.8755, 0.5000)
Y (0.4824, 0.8757, 0.2507)
Y (0.9824, 0.1243, 0.2493)
Sm (0.9794, 0.6249, 0.2498)
Y (0.6466, 0.1243, 0.5000)
Tb (0.6492, 0.6262, 0.5000)
Sm (0.4794, 0.3751, 0.7498)
Sm (0.6491, 0.6252, 0.0000)
Y (0.1466, 0.8757, 0.0000)

Energy relative to the lowest polymorph listed for this composition ... 0 meV/atom
DFT formation energy ... 14 meV/atom
N(E_F) ... 29.3 states/eV per cell

---

Entry from the Alexandria database: an optimized crystal structure of Tb3Sm4Y5 (PBE).

a = 5.9349 Å, b = 8.6156 Å, c = 9.7141 Å
α = 105.96°, β = 72.21°, γ = 69.85°
Each line ends with the local moment (μB).
Atoms (fractional coordinates):
Sm (0.1667, 0.0484, 0.6182)  0.00
Tb (0.5231, 0.6873, 0.2666)  0.01
Y (0.6300, 0.9428, 0.7972)  0.01
Y (0.5000, 0.5000, 0.5000)  0.15
Sm (0.1383, 0.7785, 0.9450)  0.00
Y (0.3700, 0.0572, 0.2028)  0.01
Tb (0.0000, 0.5000, 0.5000)  0.19
Sm (0.8333, 0.9516, 0.3818)  0.00
Y (0.2138, 0.4580, 0.1145)  0.01
Sm (0.8617, 0.2215, 0.0550)  0.00
Tb (0.4769, 0.3127, 0.7334)  0.01
Y (0.7862, 0.5420, 0.8855)  0.01

Energy relative to the lowest polymorph listed for this composition ... 209 meV/atom
DFT formation energy ... 225 meV/atom
N(E_F) ... 19.7 states/eV per cell

---

Entry from the Alexandria database: an optimized crystal structure of Tb4Sm6Y (PBE).

a = 7.5697 Å, b = 7.5697 Å, c = 8.6074 Å
α = 116.09°, β = 116.09°, γ = 90.00°
Atoms (fractional coordinates):
Tb (0.7544, 0.0875, 0.8419)
Sm (0.5429, 0.5429, 0.6240)
Y (0.5000, 0.5000, 0.0000)
Sm (0.4571, 0.9189, 0.3760)
Tb (0.9125, 0.9125, 0.1581)
Tb (0.0875, 0.7544, 0.8419)
Tb (0.2456, 0.2456, 0.1581)
Sm (0.0811, 0.0811, 0.6240)
Sm (0.0000, 0.5000, 0.0000)
Sm (0.5000, 0.0000, 0.0000)
Sm (0.9189, 0.4571, 0.3760)

Energy relative to the lowest polymorph listed for this composition ... 0 meV/atom
DFT formation energy ... 383 meV/atom
N(E_F) ... 13.7 states/eV per cell

---

Entry from the Alexandria database: an optimized crystal structure of Tb4SmY (PBE).

a = 6.6014 Å, b = 6.6014 Å, c = 6.6014 Å
α = 60.00°, β = 60.00°, γ = 60.00°
Each line ends with the local moment (μB).
Atoms (fractional coordinates):
Y (0.0000, 0.0000, 0.0000)  0.09
Tb (0.6252, 0.1244, 0.6252)  0.02
Sm (0.2500, 0.2500, 0.2500)  0.09
Tb (0.6252, 0.6252, 0.6252)  0.02
Tb (0.6252, 0.6252, 0.1244)  0.02
Tb (0.1244, 0.6252, 0.6252)  0.02

Energy relative to the lowest polymorph listed for this composition ... 236 meV/atom
DFT formation energy ... 253 meV/atom
N(E_F) ... 10.4 states/eV per cell

---

Entry from the Alexandria database: an optimized crystal structure of TbSm3Y4 (PBE).

a = 3.4731 Å, b = 6.7524 Å, c = 15.3795 Å
α = 131.20°, β = 96.48°, γ = 90.00°
Atoms (fractional coordinates):
Sm (0.7603, 0.7807, 0.5206)
Y (0.3756, 0.8811, 0.7511)
Y (0.6244, 0.6283, 0.2488)
Y (0.6244, 0.1189, 0.2489)
Sm (0.2397, 0.2193, 0.4794)
Sm (0.0000, 0.5000, 0.0000)
Y (0.3756, 0.3717, 0.7512)
Tb (0.5000, 0.0000, 0.0000)

Energy relative to the lowest polymorph listed for this composition ... 167 meV/atom
DFT formation energy ... 181 meV/atom
N(E_F) ... 15.1 states/eV per cell

---

Entry from the Alexandria database: an optimized crystal structure of Tb2Sm6Y3 (PBE).

a = 3.6020 Å, b = 3.6020 Å, c = 32.2834 Å
α = 86.80°, β = 86.80°, γ = 60.00°
Atoms (fractional coordinates):
Sm (0.9092, 0.9092, 0.2725)
Sm (0.0908, 0.0908, 0.7275)
Tb (0.5456, 0.5456, 0.3631)
Sm (0.3636, 0.3636, 0.9092)
Sm (0.6364, 0.6364, 0.0908)
Tb (0.4544, 0.4544, 0.6369)
Y (0.7272, 0.7272, 0.8185)
Y (0.0000, 0.0000, 0.0000)
Y (0.2728, 0.2728, 0.1815)
Sm (0.1820, 0.1820, 0.4539)
Sm (0.8180, 0.8180, 0.5461)

Energy relative to the lowest polymorph listed for this composition ... 0 meV/atom
DFT formation energy ... 13 meV/atom
N(E_F) ... 13.8 states/eV per cell

---

Entry from the Alexandria database: an optimized crystal structure of Tb2Sm2Y3 (PBE).

a = 3.5836 Å, b = 10.7639 Å, c = 6.1981 Å
α = 95.60°, β = 73.29°, γ = 89.95°
Atoms (fractional coordinates):
Y (0.0000, 0.0000, 0.0000)
Tb (0.5719, 0.7134, 0.8561)
Sm (0.7151, 0.1439, 0.5706)
Y (0.1420, 0.4284, 0.7155)
Y (0.8580, 0.5716, 0.2845)
Sm (0.2849, 0.8561, 0.4294)
Tb (0.4281, 0.2866, 0.1439)

Energy relative to the lowest polymorph listed for this composition ... 0 meV/atom
DFT formation energy ... 18 meV/atom
N(E_F) ... 9.5 states/eV per cell

---

Entry from the Alexandria database: an optimized crystal structure of Tb3Sm2Y (PBE).

a = 6.0130 Å, b = 12.3348 Å, c = 12.3348 Å
α = 46.05°, β = 42.98°, γ = 42.98°
Atoms (fractional coordinates):
Sm (0.3470, 0.4139, 0.8543)
Tb (0.2500, 0.3912, 0.6088)
Sm (0.1530, 0.1457, 0.5861)
Y (0.5000, 0.0000, 0.0000)
Y (0.0000, 0.0000, 0.0000)
Tb (0.4510, 0.6832, 0.8483)
Sm (0.8470, 0.8543, 0.4139)
Tb (0.5490, 0.3168, 0.1517)
Sm (0.6530, 0.5861, 0.1457)
Tb (0.9510, 0.8483, 0.6832)
Tb (0.0490, 0.1517, 0.3168)
Tb (0.7500, 0.6088, 0.3912)

Energy relative to the lowest polymorph listed for this composition ... 103 meV/atom
DFT formation energy ... 163 meV/atom
N(E_F) ... 20.2 states/eV per cell

---

Entry from the Alexandria database: an optimized crystal structure of Tb3Sm3Y4 (PBE).

a = 3.6936 Å, b = 9.4838 Å, c = 9.4838 Å
α = 90.12°, β = 90.00°, γ = 90.00°
Atoms (fractional coordinates):
Sm (0.5000, 0.8265, 0.1735)
Y (0.0000, 0.6251, 0.3749)
Tb (0.0000, 0.4976, 0.9991)
Tb (0.0000, 0.0009, 0.5024)
Sm (0.5000, 0.6736, 0.6742)
Y (0.0000, 0.1259, 0.1237)
Sm (0.5000, 0.3258, 0.3264)
Tb (0.5000, 0.1740, 0.8260)
Y (0.0000, 0.3743, 0.6257)
Y (0.0000, 0.8763, 0.8741)

DFT formation energy ... 106 meV/atom
N(E_F) ... 8.6 states/eV per cell

---

Entry from the Alexandria database: an optimized crystal structure of TbSm6Y12 (PBE).

a = 8.7734 Å, b = 8.7734 Å, c = 8.7734 Å
α = 99.08°, β = 99.08°, γ = 99.08°
Atoms (fractional coordinates):
Sm (0.9022, 0.9022, 0.3415)
Sm (0.6585, 0.0978, 0.0978)
Y (0.6471, 0.9184, 0.6471)
Y (0.2414, 0.7586, 0.5000)
Y (0.5000, 0.2414, 0.7586)
Tb (0.0000, 0.0000, 0.0000)
Sm (0.0978, 0.6585, 0.0978)
Y (0.2414, 0.5000, 0.7586)
Y (0.3529, 0.0816, 0.3529)
Y (0.6471, 0.6471, 0.9184)
Y (0.3529, 0.3529, 0.0816)
Y (0.9184, 0.6471, 0.6471)
Y (0.5000, 0.7586, 0.2414)
Y (0.0816, 0.3529, 0.3529)
Y (0.7586, 0.2414, 0.5000)
Sm (0.3415, 0.9022, 0.9022)
Y (0.7586, 0.5000, 0.2414)
Sm (0.0978, 0.0978, 0.6585)
Sm (0.9022, 0.3415, 0.9022)

Energy relative to the lowest polymorph listed for this composition ... 93 meV/atom
DFT formation energy ... 208 meV/atom
N(E_F) ... 35.2 states/eV per cell

---

Entry from the Alexandria database: an optimized crystal structure of Tb3Sm2Y5 (PBE).

a = 6.8344 Å, b = 12.4047 Å, c = 12.4047 Å
α = 44.21°, β = 74.01°, γ = 74.01°
Atoms (fractional coordinates):
Y (0.1280, 0.4631, 0.2809)
Sm (0.6210, 0.9769, 0.7812)
Y (0.4971, 0.7529, 0.7529)
Sm (0.1210, 0.7812, 0.9769)
Y (0.8720, 0.5369, 0.7191)
Sm (0.3790, 0.0231, 0.2188)
Tb (0.7500, 0.0000, 0.0000)
Sm (0.8790, 0.2188, 0.0231)
Y (0.6280, 0.2809, 0.4631)
Tb (0.1244, 0.1259, 0.6253)
Y (0.9971, 0.7529, 0.7529)
Tb (0.2500, 0.0000, 0.0000)
Y (0.0029, 0.2471, 0.2471)
Tb (0.6244, 0.6253, 0.1259)
Y (0.5029, 0.2471, 0.2471)
Tb (0.3756, 0.3747, 0.8741)
Y (0.7500, 0.5000, 0.5000)
Y (0.2500, 0.5000, 0.5000)
Tb (0.8756, 0.8741, 0.3747)
Y (0.3720, 0.7191, 0.5369)

Energy relative to the lowest polymorph listed for this composition ... 225 meV/atom
DFT formation energy ... 412 meV/atom
N(E_F) ... 33.6 states/eV per cell